(1)
# Si3TcC | Alexandria via LeMat-Bulk | PBE-GGA | relaxed
data_Si3TcC
_cell_length_a 3.944
_cell_length_b 3.944
_cell_length_c 3.944
_cell_angle_alpha 90.00
_cell_angle_beta 90.00
_cell_angle_gamma 90.00
_space_group_name_H-M_alt 'P m -3 m'
_space_group_IT_number 221
_space_group_name_Hall '-P 4 2 3'
loop_
_atom_site_label
_atom_site_type_symbol
_atom_site_fract_x
_atom_site_fract_y
_atom_site_fract_z
_atom_site_occupancy
Si1 Si 0.000 0.000 0.500 1
Tc1 Tc 0.500 0.500 0.500 1
C1 C 0.000 0.000 0.000 1
# ΔE_f (raw)   0.814 eV/atom
# Calculated density   5.3 Mg/m³
# Magnetic moment   0.575 Bohr magnetons per cell



(2)
# Si3TcC | Alexandria via LeMat-Bulk | PBE-GGA | relaxed
data_Si3TcC
_cell_length_a 4.624
_cell_length_b 4.624
_cell_length_c 4.624
_cell_angle_alpha 90.00
_cell_angle_beta 90.00
_cell_angle_gamma 90.00
_space_group_name_H-M_alt 'P m -3 m'
_space_group_IT_number 221
_space_group_name_Hall '-P 4 2 3'
loop_
_atom_site_label
_atom_site_type_symbol
_atom_site_fract_x
_atom_site_fract_y
_atom_site_fract_z
_atom_site_occupancy
Si1 Si 0.000 0.000 0.500 1
Tc1 Tc 0.000 0.000 0.000 1
C1 C 0.500 0.500 0.500 1
# ΔE_f (raw)   1.488 eV/atom
# Calculated density   3.3 Mg/m³
# Magnetic moment   2.959 Bohr magnetons per cell



(3)
# Si2TcC | Alexandria via LeMat-Bulk | PBE-GGA | relaxed
data_Si2TcC
_cell_length_a 5.941
_cell_length_b 5.941
_cell_length_c 5.418
_cell_angle_alpha 90.00
_cell_angle_beta 90.00
_cell_angle_gamma 90.00
_space_group_name_H-M_alt 'I -4 2 d'
_space_group_IT_number 122
_space_group_name_Hall 'I -4 2bw'
loop_
_atom_site_label
_atom_site_type_symbol
_atom_site_fract_x
_atom_site_fract_y
_atom_site_fract_z
_atom_site_occupancy
Si1 Si 0.168 0.250 0.125 1
Tc1 Tc 0.000 0.000 0.500 1
C1 C 0.000 0.000 0.000 1
# ΔE_f (raw)   0.404 eV/atom
# Calculated density   5.8 Mg/m³
# Magnetic moment   0.000 Bohr magnetons per cell



(4)
# SiTcTe2C | Alexandria via LeMat-Bulk | PBE-GGA | relaxed
data_SiTcTe2C
_cell_length_a 5.393
_cell_length_b 5.393
_cell_length_c 3.439
_cell_angle_alpha 90.00
_cell_angle_beta 90.00
_cell_angle_gamma 90.00
_space_group_name_H-M_alt 'P 4/m m m'
_space_group_IT_number 123
_space_group_name_Hall '-P 4 2'
loop_
_atom_site_label
_atom_site_type_symbol
_atom_site_fract_x
_atom_site_fract_y
_atom_site_fract_z
_atom_site_occupancy
Si1 Si 0.000 0.000 0.000 1
Tc1 Tc 0.500 0.500 0.500 1
Te1 Te 0.000 0.500 0.000 1
C1 C 0.000 0.000 0.500 1
# ΔE_f (raw)   1.207 eV/atom
# Calculated density   6.5 Mg/m³
# Magnetic moment   2.725 Bohr magnetons per cell



(5)
# ThSi2Tc2C | Alexandria via LeMat-Bulk | PBE-GGA | relaxed
data_ThSi2Tc2C
_cell_length_a 4.186
_cell_length_b 4.186
_cell_length_c 5.299
_cell_angle_alpha 90.00
_cell_angle_beta 90.00
_cell_angle_gamma 90.00
_space_group_name_H-M_alt 'P 4/m m m'
_space_group_IT_number 123
_space_group_name_Hall '-P 4 2'
loop_
_atom_site_label
_atom_site_type_symbol
_atom_site_fract_x
_atom_site_fract_y
_atom_site_fract_z
_atom_site_occupancy
Th1 Th 0.000 0.000 0.000 1
Si1 Si 0.500 0.500 0.223 1
Tc1 Tc 0.000 0.500 0.500 1
C1 C 0.000 0.000 0.500 1
# ΔE_f (raw)   -0.560 eV/atom
# Calculated density   8.9 Mg/m³
# Magnetic moment   0.000 Bohr magnetons per cell



(6)
# Ti2SiTcC | Alexandria via LeMat-Bulk | PBE-GGA | relaxed
data_Ti2SiTcC
_cell_length_a 4.658
_cell_length_b 4.658
_cell_length_c 4.489
_cell_angle_alpha 90.00
_cell_angle_beta 90.00
_cell_angle_gamma 90.00
_space_group_name_H-M_alt 'P 4/m m m'
_space_group_IT_number 123
_space_group_name_Hall '-P 4 2'
loop_
_atom_site_label
_atom_site_type_symbol
_atom_site_fract_x
_atom_site_fract_y
_atom_site_fract_z
_atom_site_occupancy
Ti1 Ti 0.000 0.500 0.000 1
Si1 Si 0.000 0.000 0.500 1
Tc1 Tc 0.000 0.000 0.000 1
C1 C 0.500 0.500 0.500 1
# ΔE_f (raw)   1.532 eV/atom
# Calculated density   4.0 Mg/m³
# Magnetic moment   0.000 Bohr magnetons per cell



(7)
# Tm2Si2Tc2C | Alexandria via LeMat-Bulk | PBE-GGA | relaxed
data_Tm2Si2Tc2C
_cell_length_a 10.928
_cell_length_b 3.968
_cell_length_c 6.870
_cell_angle_alpha 90.00
_cell_angle_beta 127.94
_cell_angle_gamma 90.00
_space_group_name_H-M_alt 'C 1 2/m 1'
_space_group_IT_number 12
loop_
_space_group_symop_operation_xyz
'x,y,z'
'-x,-y,-z'
'-x,y,-z'
'x,-y,z'
'x+1/2,y+1/2,z'
'-x+1/2,-y+1/2,-z'
'-x+1/2,y+1/2,-z'
'x+1/2,-y+1/2,z'
loop_
_atom_site_label
_atom_site_type_symbol
_atom_site_fract_x
_atom_site_fract_y
_atom_site_fract_z
_atom_site_occupancy
Tm1 Tm 0.070 0.000 0.297 1
Si1 Si 0.142 0.500 0.684 1
Tc1 Tc 0.207 0.500 0.097 1
C1 C 0.000 0.500 0.000 1
# ΔE_f (raw)   -0.681 eV/atom
# Calculated density   8.5 Mg/m³
# Magnetic moment   0.000 Bohr magnetons per cell



(8)
# USiTcC | Alexandria via LeMat-Bulk | PBE-GGA | relaxed
data_USiTcC
_cell_length_a 3.769
_cell_length_b 3.769
_cell_length_c 8.699
_cell_angle_alpha 90.00
_cell_angle_beta 90.00
_cell_angle_gamma 90.00
_space_group_name_H-M_alt 'P 4/n m m'
_space_group_IT_number 129
loop_
_space_group_symop_operation_xyz
'x,y,z'
'-x,-y,-z'
'-y+1/2,x,z'
'y+1/2,-x,-z'
'-x+1/2,-y+1/2,z'
'x+1/2,y+1/2,-z'
'y,-x+1/2,z'
'-y,x+1/2,-z'
'x+1/2,-y,-z'
'-x+1/2,y,z'
'-y,-x,-z'
'y,x,z'
'-x,y+1/2,-z'
'x,-y+1/2,z'
'y+1/2,x+1/2,-z'
'-y+1/2,-x+1/2,z'
loop_
_atom_site_label
_atom_site_type_symbol
_atom_site_fract_x
_atom_site_fract_y
_atom_site_fract_z
_atom_site_occupancy
U1 U 0.250 0.250 0.152 1
Si1 Si 0.250 0.250 0.680 1
Tc1 Tc 0.250 0.750 0.500 1
C1 C 0.250 0.250 0.892 1
# ΔE_f (raw)   -0.192 eV/atom
# Calculated density   10.1 Mg/m³
# Magnetic moment   3.945 Bohr magnetons per cell



(9)
# USiTc2C | Alexandria via LeMat-Bulk | PBE-GGA | relaxed
data_USiTc2C
_cell_length_a 3.347
_cell_length_b 11.813
_cell_length_c 7.593
_cell_angle_alpha 90.00
_cell_angle_beta 90.00
_cell_angle_gamma 90.00
_space_group_name_H-M_alt 'C m c m'
_space_group_IT_number 63
_space_group_name_Hall '-C 2c 2'
loop_
_atom_site_label
_atom_site_type_symbol
_atom_site_fract_x
_atom_site_fract_y
_atom_site_fract_z
_atom_site_occupancy
U1 U 0.000 0.041 0.250 1
Si1 Si 0.000 0.245 0.750 1
Tc1 Tc 0.000 0.338 0.052 1
C1 C 0.000 0.500 0.000 1
# ΔE_f (raw)   -0.337 eV/atom
# Calculated density   10.5 Mg/m³
# Magnetic moment   6.056 Bohr magnetons per cell



(10)
# YSiTc2C | Alexandria via LeMat-Bulk | PBE-GGA | relaxed
data_YSiTc2C
_cell_length_a 3.880
_cell_length_b 10.990
_cell_length_c 7.311
_cell_angle_alpha 90.00
_cell_angle_beta 90.00
_cell_angle_gamma 90.00
_space_group_name_H-M_alt 'C m c m'
_space_group_IT_number 63
_space_group_name_Hall '-C 2c 2'
loop_
_atom_site_label
_atom_site_type_symbol
_atom_site_fract_x
_atom_site_fract_y
_atom_site_fract_z
_atom_site_occupancy
Y1 Y 0.000 0.043 0.250 1
Si1 Si 0.000 0.234 0.750 1
Tc1 Tc 0.000 0.329 0.059 1
C1 C 0.000 0.500 0.000 1
# ΔE_f (raw)   -0.525 eV/atom
# Calculated density   6.9 Mg/m³
# Magnetic moment   0.000 Bohr magnetons per cell



(11)
# Y2SiTcC | Alexandria via LeMat-Bulk | PBE-GGA | relaxed
data_Y2SiTcC
_cell_length_a 4.861
_cell_length_b 4.861
_cell_length_c 3.988
_cell_angle_alpha 90.00
_cell_angle_beta 90.00
_cell_angle_gamma 90.00
_space_group_name_H-M_alt 'P 4/m m m'
_space_group_IT_number 123
_space_group_name_Hall '-P 4 2'
loop_
_atom_site_label
_atom_site_type_symbol
_atom_site_fract_x
_atom_site_fract_y
_atom_site_fract_z
_atom_site_occupancy
Y1 Y 0.000 0.500 0.000 1
Si1 Si 0.000 0.000 0.500 1
Tc1 Tc 0.500 0.500 0.500 1
C1 C 0.500 0.500 0.000 1
# ΔE_f (raw)   -0.342 eV/atom
# Calculated density   5.6 Mg/m³
# Magnetic moment   0.000 Bohr magnetons per cell



(12)
# Y2Si2Tc2C | Alexandria via LeMat-Bulk | PBE-GGA | relaxed
data_Y2Si2Tc2C
_cell_length_a 11.007
_cell_length_b 4.006
_cell_length_c 6.968
_cell_angle_alpha 90.00
_cell_angle_beta 128.09
_cell_angle_gamma 90.00
_space_group_name_H-M_alt 'C 1 2/m 1'
_space_group_IT_number 12
loop_
_space_group_symop_operation_xyz
'x,y,z'
'-x,-y,-z'
'-x,y,-z'
'x,-y,z'
'x+1/2,y+1/2,z'
'-x+1/2,-y+1/2,-z'
'-x+1/2,y+1/2,-z'
'x+1/2,-y+1/2,z'
loop_
_atom_site_label
_atom_site_type_symbol
_atom_site_fract_x
_atom_site_fract_y
_atom_site_fract_z
_atom_site_occupancy
Y1 Y 0.070 0.000 0.299 1
Si1 Si 0.145 0.500 0.690 1
Tc1 Tc 0.206 0.500 0.095 1
C1 C 0.000 0.500 0.000 1
# ΔE_f (raw)   -0.690 eV/atom
# Calculated density   6.1 Mg/m³
# Magnetic moment   0.000 Bohr magnetons per cell



(13)
# SiTe2C2 | Alexandria via LeMat-Bulk | PBE-GGA | relaxed
data_SiTe2C2
_cell_length_a 4.823
_cell_length_b 4.823
_cell_length_c 7.237
_cell_angle_alpha 90.00
_cell_angle_beta 90.00
_cell_angle_gamma 90.00
_space_group_name_H-M_alt 'I 4/m m m'
_space_group_IT_number 139
_space_group_name_Hall '-I 4 2'
loop_
_atom_site_label
_atom_site_type_symbol
_atom_site_fract_x
_atom_site_fract_y
_atom_site_fract_z
_atom_site_occupancy
Si1 Si 0.000 0.000 0.000 1
Te1 Te 0.000 0.500 0.250 1
C1 C 0.000 0.000 0.409 1
# ΔE_f (raw)   1.393 eV/atom
# Calculated density   6.1 Mg/m³
# Magnetic moment   0.000 Bohr magnetons per cell